First-principles (GGA-PBE) data for a relaxed SrCdAu2 crystal, as listed in Alexandria via LeMat-Bulk.

Computed properties:
For the energy of formation, the calculation gives -485 meV/atom. For the calculated volume, the calculation gives 96.1 Å³ per cell. For the total energy, the calculation gives -2.773 eV per atom. Its symmetry is No. 10. The value obtained for the magnetic moment is 0.0 μB per formula unit.

extended XYZ file:
```
4
Lattice="-0.0900 1.3660 -3.4873 1.7737 -3.0009 -1.2213 -4.3244 -6.1387 -2.2930" Properties=species:S:1:pos:R:3 pbc="T T T"
Sr -1.9580 -6.1717 -4.3794
Au -1.0579 -4.4617 -1.7204
Au 1.5563 -3.1091 -1.2580
Cd -0.6827 -1.6019 -2.6222
```